[1]
## BaNa2Li (GGA-PBE)

Data for a geometry-optimized BaNa2Li structure.

Computed properties:
total moment	0.000	μB/atom
E_form	11.3	kJ/mol of formula units
total energy	-6.358	eV/f.u.
crystal system	trigonal
N(E_F)	10.66	states/eV/cell
excess energy over the best structure of this formula in the dataset	0	meV per atom

abc: 7.0976 7.0976 11.6815
angles: 72.31 72.31 60.00
Closest atoms and distances in Å follow each position.
Fractional coordinates of all 12 atoms:
Na (0.4216, 0.4216, 0.2383)  3 Li 3.29-3.51, 4 Na 3.53-3.57
Na (0.5784, 0.5784, 0.7617)  3 Li 3.29-3.51, 4 Na 3.53-3.57
Na (0.4216, 0.9184, 0.2383)  3 Li 3.29-3.51, 4 Na 3.53-3.57
Na (0.9184, 0.4216, 0.2383)  3 Li 3.29-3.51, 4 Na 3.53-3.57
Na (0.0816, 0.5784, 0.7617)  3 Li 3.29-3.51, 4 Na 3.53-3.57
Na (0.5784, 0.0816, 0.7617)  3 Li 3.29-3.51, 4 Na 3.53-3.57
Li (0.6678, 0.6678, 0.9965)  6 Na 3.29-3.34
Li (0.5000, 0.5000, 0.5000)  6 Na 3.51
Li (0.3322, 0.3322, 0.0035)  6 Na 3.29-3.34
Ba (0.1428, 0.1428, 0.5715)  9 Na 4.11-4.19, 3 Li 4.17, 3 Ba 4.39
Ba (0.8572, 0.8572, 0.4285)  9 Na 4.11-4.19, 3 Li 4.17, 3 Ba 4.39
Ba (0.0000, 0.0000, 0.0000)  6 Li 4.10, 12 Na 4.40



[2]
## La3Pm5Nd3 (GGA-PBE)

Data for a geometry-optimized La3Pm5Nd3 structure.

Computed properties:
total moment	0.000	μB/atom
E_form	703.7	kJ/mol of formula units
total energy	-45.546	eV/f.u.
crystal system	hexagonal
N(E_F)	13.99	states/eV/cell

abc: 5.8111 9.7112 9.7112
angles: 120.00 90.00 90.00
Closest atoms and distances in Å follow each position.
Fractional coordinates of all 11 atoms:
La (0.0000, 0.0000, 0.4618)  2 Nd 3.04
La (0.0000, 0.4618, 0.0000)  2 Nd 3.04
La (0.0000, 0.5382, 0.5382)  2 Nd 3.04
Nd (0.5000, 0.0000, 0.3696)  2 La 3.04, 4 Pm 3.08-3.23
Nd (0.5000, 0.6304, 0.6304)  2 La 3.04, 4 Pm 3.08-3.23
Nd (0.5000, 0.3696, 0.0000)  2 La 3.04, 4 Pm 3.08-3.23
Pm (0.5000, 0.7246, 0.0000)  3 Nd 3.23-3.45, 2 Pm 3.55
Pm (0.5000, 0.6667, 0.3333)  3 Nd 3.08
Pm (0.5000, 0.2754, 0.2754)  3 Nd 3.23-3.45, 2 Pm 3.55
Pm (0.5000, 0.0000, 0.7246)  3 Nd 3.23-3.45, 2 Pm 3.55
Pm (0.5000, 0.3333, 0.6667)  3 Nd 3.08



[3]
## K2PuPbBr8 (GGA-PBE)

Data for a geometry-optimized K2PuPbBr8 structure.

Computed properties:
total moment	0.331	μB/atom
total energy	-49.618	eV/f.u.
formation energy from raw total energies	-1.33	eV per atom
crystal system	monoclinic
N(E_F)	3.41	states/eV/cell

abc: 7.5789 7.0730 9.1521
angles: 90.00 90.00 92.63
Closest atoms and distances in Å follow each position.
Fractional coordinates of all 12 atoms:
K (0.5000, 0.4998, 0.7478)  6 Br 3.17-3.51
K (0.5000, 0.5002, 0.2522)  6 Br 3.17-3.51
Pu (0.0000, 0.0000, 0.0000)  6 Br 2.75-2.79
Br (0.6753, 0.7585, 0.5001)  1 Pb 2.93, 2 K 3.17
Br (0.3247, 0.2415, 0.4999)  1 Pb 2.93, 2 K 3.17
Br (0.8717, 0.2249, 0.2236)  1 Pu 2.79
Br (0.1282, 0.7750, 0.2236)  1 Pu 2.79
Br (0.8718, 0.2250, 0.7764)  1 Pu 2.79
Br (0.6868, 0.7879, 0.9999)  1 Pu 2.75
Br (0.1283, 0.7751, 0.7764)  1 Pu 2.79
Br (0.3132, 0.2121, 0.0001)  1 Pu 2.75
Pb (0.0000, 0.0000, 0.5000)  6 Br 2.93-3.17



[4]
## BaRe2Si (GGA-PBE)

Data for a geometry-optimized BaRe2Si structure.

Computed properties:
total moment	0.000	μB/atom
total energy	-26.569	eV/f.u.
formation energy from raw total energies	1.42	eV per atom
crystal system	orthorhombic
N(E_F)	4.01	states/eV/cell

abc: 2.8308 5.0258 5.6135
angles: 90.00 90.00 90.00
Closest atoms and distances in Å follow each position.
Fractional coordinates of all 4 atoms:
Si (0.5000, 0.0000, 0.5000)  2 Si 2.83, 4 Ba 2.88, 4 Re 3.14
Ba (0.0000, 0.5000, 0.5000)  2 Ba 2.83, 4 Si 2.88, 4 Re 3.14
Re (0.0000, 0.0000, 0.0000)  6 Re 2.83-2.88, 4 Si 3.14
Re (0.5000, 0.5000, 0.0000)  6 Re 2.83-2.88, 4 Ba 3.14



> Which of these has the highest N(E_F)?

La3Pm5Nd3